VASP calculation (PBE) on Cr2OsSe after structural relaxation.

The calculation puts the uncorrected formation energy at 120 kJ/mol of formula units. Its space-group type is Cm, No. 8. As for the density: 11.015 g/cm3. As for the spin magnetization: 0.08 Bohr magnetons per cell.

a b c (Å): 4.6176 4.6176 4.4611
angles (deg): 83.44 83.44 36.57
Sites, in units of the cell vectors:
Cr 0.9893 0.9893 0.9841
Cr 0.2537 0.2537 0.2673
Os 0.5165 0.5165 0.4532
Se 0.7405 0.7405 0.7953



VASP calculation (PBE) on CrOsSe after structural relaxation.

The calculation puts the uncorrected formation energy at 143 kJ/mol of formula units. Its space-group type is P3m1, No. 156. The value obtained for the distance to the lowest polymorph of the same formula is 467 meV per atom. As for the density: 12.537 g/cm3. As for the spin magnetization: 0.00 Bohr magnetons per cell.

a b c (Å): 4.1227 4.1227 2.8901
angles (deg): 90.00 90.00 120.00
Sites, in units of the cell vectors:
Cr 0.0000 0.0000 0.8980
Os 0.3333 0.6667 0.4090
Se 0.6667 0.3333 0.6930



VASP calculation (PBE) on Cr3OsSe after structural relaxation.

The calculation puts the uncorrected formation energy at 566 kJ/mol of formula units. Its space-group type is Pm-3m, No. 221. The value obtained for the distance to the lowest polymorph of the same formula is 0 meV per atom. As for the density: 6.682 g/cm3. As for the spin magnetization: 9.51 Bohr magnetons per cell.

a b c (Å): 4.7277 4.7277 4.7277
angles (deg): 90.00 90.00 90.00
Sites, in units of the cell vectors:
Cr 0.0000 0.5000 0.0000
Cr 0.0000 0.0000 0.5000
Cr 0.5000 0.0000 0.0000
Os 0.0000 0.0000 0.0000
Se 0.5000 0.5000 0.5000



VASP calculation (PBE) on CrOs3Se after structural relaxation.

The calculation puts the uncorrected formation energy at 1022 kJ/mol of formula units. Its space-group type is Pm-3m, No. 221. The value obtained for the distance to the lowest polymorph of the same formula is 183 meV per atom. As for the density: 12.914 g/cm3. As for the spin magnetization: 0.16 Bohr magnetons per cell.

a b c (Å): 4.4851 4.4851 4.4851
angles (deg): 90.00 90.00 90.00
Sites, in units of the cell vectors:
Cr 0.5000 0.5000 0.5000
Os 0.0000 0.5000 0.0000
Os 0.0000 0.0000 0.5000
Os 0.5000 0.0000 0.0000
Se 0.0000 0.0000 0.0000



VASP calculation (PBE) on Cr2OsSe after structural relaxation.

The calculation puts the uncorrected formation energy at 59 kJ/mol of formula units. Its space-group type is P4/mmm, No. 123. As for the density: 11.719 g/cm3. As for the spin magnetization: 0.00 Bohr magnetons per cell.

a b c (Å): 2.8570 2.8570 6.4782
angles (deg): 90.00 90.00 90.00
Sites, in units of the cell vectors:
Cr 0.0000 0.0000 0.9905
Cr 0.0000 0.0000 0.5095
Os 0.5000 0.5000 0.2500
Se 0.5000 0.5000 0.7500



VASP calculation (PBE) on Cr2OsSe after structural relaxation.

The calculation puts the uncorrected formation energy at 152 kJ/mol of formula units. Its space-group type is P4/mmm, No. 123. As for the density: 11.489 g/cm3. As for the spin magnetization: 0.00 Bohr magnetons per cell.

a b c (Å): 4.3558 4.3558 2.8429
angles (deg): 90.00 90.00 90.00
Sites, in units of the cell vectors:
Cr 0.0000 0.0000 0.0000
Cr 0.5000 0.5000 0.0000
Os 0.5000 0.0000 0.5000
Se 0.0000 0.5000 0.5000



- density of number 2 (CrOsSe)?
  12.537 g/cm3



- spin magnetization of number 4 (CrOs3Se)?
  0.16 Bohr magnetons per cell



- What is the spin magnetization in the first record?
  0.08 Bohr magnetons per cell